A relaxed structure of NaMg2CoF8, computed with GGA+U.

Summary:
- Electronic total energy: -4.921 eV per atom
- Total moment: 4.1 μB per formula unit

Unit cell a=4.783 b=6.322 c=4.787 alpha=90.00 beta=90.40 gamma=90.00
Positions (direct):
1 Na 0.000 0.000 0.000
2 Mg 0.500 0.247 0.500
3 Mg 0.500 0.753 0.500
4 Co 0.000 0.500 0.000
5 F 0.202 0.288 0.201
6 F 0.202 0.712 0.201
7 F 0.298 0.500 0.701
8 F 0.319 0.000 0.680
9 F 0.681 0.000 0.320
10 F 0.702 0.500 0.299
11 F 0.798 0.288 0.799
12 F 0.798 0.712 0.799